No. 1
## Y2Ga8Pt (PBE)

Data for an optimized crystal structure of Y2Ga8Pt.

Geometry as extended XYZ:
```
11
Lattice="4.342 0.000 0.000 0.000 4.342 0.000 0.000 0.000 11.167" Properties=species:S:1:pos:R:3 pbc="T T T"
Y 0.000 0.000 7.709
Ga 2.171 0.000 9.757
Pt 0.000 0.000 0.000
Ga 2.171 0.000 1.410
Ga 2.171 2.171 3.425
Ga 0.000 2.171 9.757
Ga 0.000 2.171 5.583
Y 0.000 0.000 3.458
Ga 2.171 2.171 7.742
Ga 2.171 0.000 5.583
Ga 0.000 2.171 1.410
```

Calculated values
ΔE_f: -0.56 eV/atom



No. 2
## Cs2KOsI6 (PBE)

Data for an optimized crystal structure of Cs2KOsI6.

Geometry as extended XYZ:
```
10
Lattice="8.622 0.000 0.000 0.000 8.622 0.000 4.311 4.311 6.097" Properties=species:S:1:pos:R:3 pbc="T T T"
Cs 4.311 8.622 3.048
I 1.921 1.921 0.000
I 4.311 4.311 3.379
K 4.311 4.311 0.000
Os 0.000 0.000 0.000
I 6.701 6.701 0.000
I 8.622 8.622 2.717
I 1.921 6.701 0.000
I 6.701 1.921 0.000
Cs 8.622 4.311 3.048
```

Calculated values
Formation energy without anion corrections: -17.8 kcal/mol of atoms



No. 3
## NdZn3Sn3 (PBE)

Data for an optimized crystal structure of NdZn3Sn3.

Geometry as extended XYZ:
```
14
Lattice="7.334 0.000 0.000 0.000 7.334 0.000 0.000 0.000 7.334" Properties=species:S:1:pos:R:3 pbc="T T T"
Sn 3.667 1.834 0.000
Sn 1.834 0.000 3.667
Zn 3.667 0.000 1.834
Zn 1.834 3.667 0.000
Zn 5.501 3.667 0.000
Zn 0.000 1.834 3.667
Sn 0.000 3.667 5.501
Zn 3.667 0.000 5.501
Sn 3.667 5.501 0.000
Zn 0.000 5.501 3.667
Nd 3.667 3.667 3.667
Nd 0.000 0.000 0.000
Sn 0.000 3.667 1.834
Sn 5.501 0.000 3.667
```

Calculated values
ΔE_f: 0.20 eV/atom



No. 4
## HoI3 (PBE)

Data for an optimized crystal structure of HoI3.

Geometry as extended XYZ:
```
4
Lattice="3.974 0.000 0.000 0.000 7.823 0.000 -1.987 -3.912 6.337" Properties=species:S:1:pos:R:3 pbc="T T T"
Ho 0.000 0.327 0.000
I 1.987 -0.829 1.999
I 1.987 2.635 0.000
I 0.000 3.083 4.338
```

Calculated values
Formation energy without anion corrections: -30.9 kcal/mol of atoms



Number 1: volume 210.5 Å³ per cell. Number 2: volume 453.3 Å³ per cell. Number 3: volume 394.5 Å³ per cell. Number 4: volume 197.0 Å³ per cell.